{"formula": "Sm3SiTeBr", "functional": "PBE", "state": "relaxed", "total_energy_ha_per_atom": -0.18756, "e_form_raw_ev_per_fu": -6.23, "cell": [[-4.2075, 0.0780, 0.3024], [0.4490, -4.7579, 7.4755], [0.5544, 8.9001, 5.4176]], "species": ["Sm", "Sm", "Sm", "Sm", "Sm", "Sm", "Si", "Si", "Te", "Te", "Br", "Br"], "fractional_positions": [[0.7500, 0.8558, 0.1343], [0.2500, 0.1442, 0.8657], [0.2500, 0.6418, 0.4083], [0.7500, 0.3582, 0.5917], [0.7500, 0.3924, 0.1405], [0.2500, 0.6076, 0.8595], [0.2500, 0.6251, 0.1400], [0.7500, 0.3749, 0.8600], [0.2500, 0.1250, 0.1682], [0.7500, 0.8750, 0.8318], [0.2500, 0.1344, 0.5768], [0.7500, 0.8656, 0.4232]]}

{"formula": "Sm8ZnSi3Br4", "functional": "PBE", "state": "relaxed", "total_energy_ha_per_atom": -0.17747, "e_form_raw_ev_per_fu": -15.28, "cell": [[8.4398, 0.0000, 0.0000], [0.0000, 8.6759, 0.1626], [-4.2199, -4.2172, 5.9693]], "species": ["Sm", "Sm", "Sm", "Sm", "Sm", "Sm", "Sm", "Sm", "Zn", "Si", "Si", "Si", "Br", "Br", "Br", "Br"], "fractional_positions": [[0.2404, 0.7163, 0.9760], [0.2405, 0.7164, 0.4810], [0.2628, 0.2887, 0.5257], [0.7356, 0.7163, 0.9760], [0.2644, 0.2837, 0.0240], [0.7372, 0.7113, 0.4743], [0.7595, 0.2836, 0.5190], [0.7596, 0.2837, 0.0240], [0.0000, 0.5000, 0.0000], [0.5000, 0.5000, 0.0000], [0.5000, 0.5000, 0.5000], [0.0000, 0.5000, 0.5000], [0.5000, 0.0000, 0.0000], [0.5000, 0.0000, 0.5000], [0.0000, 0.0000, 0.0000], [0.0000, 0.0000, 0.5000]]}

{"formula": "SiSnBr2", "functional": "PBE", "state": "relaxed", "de_polymorph_mev_per_atom": 91, "total_energy_ha_per_atom": -0.11054, "e_form_raw_ev_per_fu": 0.74, "cell": [[-3.5894, -2.6119, -1.9529], [0.1921, -3.0683, 3.7507], [-8.1652, 2.5202, 5.6153]], "species": ["Si", "Si", "Sn", "Sn", "Br", "Br", "Br", "Br"], "fractional_positions": [[0.5000, 0.5000, 0.0000], [0.2500, 0.7500, 0.5000], [0.0000, 0.0000, 0.0000], [0.7500, 0.2500, 0.5000], [0.6094, 0.1250, 0.2500], [0.1406, 0.6250, 0.2500], [0.3750, 0.3906, 0.7500], [0.8750, 0.8594, 0.7500]]}

What did the first record say?
{"formula": "Sm3SiTeBr", "functional": "PBE", "state": "relaxed", "total_energy_ha_per_atom": -0.18756, "e_form_raw_ev_per_fu": -6.23, "cell": [[-4.2075, 0.0780, 0.3024], [0.4490, -4.7579, 7.4755], [0.5544, 8.9001, 5.4176]], "species": ["Sm", "Sm", "Sm", "Sm", "Sm", "Sm", "Si", "Si", "Te", "Te", "Br", "Br"], "fractional_positions": [[0.7500, 0.8558, 0.1343], [0.2500, 0.1442, 0.8657], [0.2500, 0.6418, 0.4083], [0.7500, 0.3582, 0.5917], [0.7500, 0.3924, 0.1405], [0.2500, 0.6076, 0.8595], [0.2500, 0.6251, 0.1400], [0.7500, 0.3749, 0.8600], [0.2500, 0.1250, 0.1682], [0.7500, 0.8750, 0.8318], [0.2500, 0.1344, 0.5768], [0.7500, 0.8656, 0.4232]]}